A relaxed VGaOs2Pb crystal. Source: the Alexandria database, functional PBE.

```
VGaOs2Pb
1.0
4.5670 0.0000 0.0000
0.0000 4.5670 0.0000
0.0000 0.0000 4.9877
V Ga Os Pb
1 1 2 1
Cartesian
0.0000 0.0000 0.0000
2.2835 2.2835 2.4938
0.0000 2.2835 2.4938
2.2835 0.0000 2.4938
2.2835 2.2835 0.0000
```

Values from the calculation:
**DFT formation energy**: 179.7 kJ per mole of atoms



A relaxed NpC2ClO6 crystal. Source: the Alexandria database, functional PBE.

```
NpC2ClO6
1.0
5.2662 -3.9176 0.0000
5.2662 3.9176 0.0000
-4.8063 0.0000 7.8393
Np C Cl O
2 4 2 12
Cartesian
1.6614 2.7967 5.8795
4.0646 -2.7967 1.9598
-1.3714 1.3760 5.3606
1.0318 -1.3760 1.4410
4.6942 1.3760 6.3983
7.0974 -1.3760 2.4787
1.6614 0.2480 5.8795
4.0646 -0.2480 1.9598
-0.5646 2.2031 5.8942
1.7146 2.7948 3.7848
-2.2770 0.7823 6.0194
0.1262 -0.7823 2.0998
6.4146 2.7948 0.1348
3.8875 2.2031 5.8647
1.8385 -2.2031 1.9745
-0.6886 -2.7948 7.7045
5.5998 0.7823 5.7395
8.0030 -0.7823 1.8199
4.0114 -2.7948 4.0545
6.2906 -2.2031 1.9451
```

Values from the calculation:
**Formation energy without anion corrections**: -1.68 eV/atom



A relaxed Rb4TeS4 crystal. Source: the Alexandria database, functional PBE.

```
Rb4TeS4
1.0
-3.9278 3.9278 6.8532
3.9278 -3.9278 6.8532
3.9278 3.9278 -6.8532
Rb Te S
4 1 4
Cartesian
3.9278 0.0000 0.0000
0.0000 0.0000 2.8470
0.0000 3.9278 0.0000
0.0000 0.0000 10.8593
0.0000 0.0000 6.8532
1.4793 -1.4793 5.3435
2.4485 2.4485 1.5096
-1.4793 1.4793 5.3435
1.4793 1.4793 8.3628
```

Values from the calculation:
**Formation energy without anion corrections**: -0.75 eV/atom



A relaxed YAg2Mo crystal. Source: the Alexandria database, functional PBE.

```
YAg2Mo
1.0
-2.1550 2.1550 4.3671
2.1550 -2.1550 4.3671
2.1550 2.1550 -4.3671
Y Ag Mo
1 2 1
Cartesian
0.0000 0.0000 0.0000
2.1550 0.0000 2.1836
0.0000 0.0000 4.3671
0.0000 2.1550 2.1836
```

Values from the calculation:
**Polymorph energy (0 for the lowest one)**: 0.37 eV/f.u.
**DFT formation energy**: 37.3 kJ per mole of atoms



A relaxed Li2CaIrO6 crystal. Source: the Alexandria database, functional PBE.

```
Li2CaIrO6
1.0
5.3488 0.0000 0.0000
0.0000 5.4523 0.0000
-5.2336 0.0000 7.8546
Li Ca Ir O
4 2 2 12
Cartesian
-0.1365 0.1601 1.8524
-2.7532 2.5661 5.7797
2.8685 2.8862 2.0749
0.2517 5.2922 6.0022
-2.6168 0.0000 3.9273
0.0000 2.7261 0.0000
2.6744 0.0000 0.0000
0.0576 2.7261 3.9273
-3.2117 0.5171 6.1177
-0.5949 2.2090 2.1904
-1.6254 3.4505 4.3518
0.9914 4.7279 0.4245
-0.5270 1.0627 4.5975
2.0898 1.6634 0.6702
-1.9745 3.7888 7.1844
0.6423 4.3896 3.2571
-0.8761 0.7244 7.4301
1.7407 2.0017 3.5028
0.7102 3.2433 5.6642
3.3270 4.9351 1.7369
```

Values from the calculation:
**Formation energy without anion corrections**: -1.42 eV/atom



A relaxed NdY2Ni crystal. Source: the Alexandria database, functional PBE.

```
NdY2Ni
1.0
6.9474 0.0000 0.0000
0.0000 9.7140 0.0000
0.0000 0.0000 6.4625
Nd Y Ni
4 8 4
Cartesian
0.2273 2.4285 0.9168
3.2464 7.2855 4.1480
3.7010 2.4285 2.3145
6.7201 7.2855 5.5457
1.2135 0.6539 4.3791
1.2135 4.2031 4.3791
2.2602 5.5109 1.1479
2.2602 9.0601 1.1479
4.6873 0.6539 5.3146
4.6873 4.2031 5.3146
5.7339 5.5109 2.0834
5.7339 9.0601 2.0834
0.7817 7.2855 2.8253
2.6921 2.4285 6.0566
4.2554 7.2855 0.4059
6.1658 2.4285 3.6372
```

Values from the calculation:
**Polymorph energy (0 for the lowest one)**: 0.00 eV/f.u.
**DFT formation energy**: -20.7 kJ per mole of atoms



A relaxed BaCdSi2Au5 crystal. Source: the Alexandria database, functional PBE.

```
BaCdSi2Au5
1.0
4.7219 0.0000 0.0000
0.0000 4.7219 0.0000
0.0000 0.0000 9.5852
Ba Cd Si Au
1 1 2 5
Cartesian
0.0000 0.0000 0.0000
0.0000 0.0000 4.7926
2.3610 2.3610 2.4116
2.3610 2.3610 7.1736
0.0000 2.3610 3.1147
0.0000 2.3610 6.4705
2.3610 0.0000 3.1147
2.3610 0.0000 6.4705
2.3610 2.3610 0.0000
```

Values from the calculation:
**Formation energy without anion corrections**: -0.31 eV/atom



A relaxed Tm5Ga2Pd2 crystal. Source: the Alexandria database, functional PBE.

```
Tm5Ga2Pd2
1.0
7.4110 -4.0872 0.0000
7.4110 4.0872 0.0000
0.0000 0.0000 7.0599
Tm Ga Pd
10 4 4
Cartesian
0.0000 0.0000 0.0000
5.4272 2.6093 4.6266
5.4272 1.4778 1.0966
9.3949 2.6093 4.6266
9.3949 1.4778 1.0966
7.4110 0.0000 3.5299
5.4272 -1.4778 5.9632
5.4272 -2.6093 2.4333
9.3949 -1.4778 5.9632
9.3949 -2.6093 2.4333
3.0565 0.0000 0.0000
4.3545 0.0000 3.5299
10.4676 0.0000 3.5299
11.7655 0.0000 0.0000
7.4110 3.0392 2.5949
7.4110 1.0480 6.1248
7.4110 -1.0480 0.9350
7.4110 -3.0392 4.4650
```

Values from the calculation:
**DFT formation energy**: -60.9 kJ per mole of atoms



A relaxed HfIn3Pd crystal. Source: the Alexandria database, functional PBE.

```
HfIn3Pd
1.0
5.0595 0.0000 0.0000
0.0000 5.0595 0.0000
0.0000 0.0000 5.0595
Hf In Pd
1 3 1
Cartesian
0.0000 0.0000 0.0000
0.0000 2.5298 2.5298
2.5298 0.0000 2.5298
2.5298 2.5298 0.0000
2.5298 2.5298 2.5298
```

Values from the calculation:
**Polymorph energy (0 for the lowest one)**: 0.00 eV/f.u.
**DFT formation energy**: 33.2 kJ per mole of atoms



A relaxed KMoP crystal. Source: the Alexandria database, functional PBE.

```
KMoP
1.0
3.2245 0.0000 0.0000
-1.6123 2.7925 0.0000
0.0000 0.0000 7.1412
K Mo P
1 1 1
Cartesian
0.0000 0.0000 0.0000
0.0000 1.8617 3.1096
1.6123 0.9308 4.6157
```

Values from the calculation:
**Polymorph energy (0 for the lowest one)**: 1.96 eV/f.u.
**DFT formation energy**: 28.4 kJ per mole of atoms



A relaxed Y5Tc2O12 crystal. Source: the Alexandria database, functional PBE.

```
Y5Tc2O12
1.0
6.2349 -2.8388 0.0000
6.2349 2.8388 0.0000
-2.3236 0.0000 7.1854
Y Tc O
5 2 12
Cartesian
0.0000 0.0000 0.0000
3.4684 0.0000 1.0229
2.3685 0.0000 4.8526
7.7776 0.0000 2.3329
6.6777 0.0000 6.1625
5.0730 1.6248 3.5927
5.0730 -1.6248 3.5927
-0.6815 0.0000 2.1250
10.8276 0.0000 5.0604
3.2190 1.4171 2.9967
2.1641 1.4092 6.6524
7.9820 1.4092 0.5330
6.9271 1.4171 4.1887
5.4667 0.0000 2.3171
4.6794 0.0000 4.8683
3.2190 -1.4171 2.9967
2.1641 -1.4092 6.6524
7.9820 -1.4092 0.5330
6.9271 -1.4171 4.1887
```

Values from the calculation:
**Formation energy without anion corrections**: -2.87 eV/atom



A relaxed LiAg4 crystal. Source: the Alexandria database, functional PBE.

```
LiAg4
1.0
-3.2412 3.2412 2.0583
3.2412 -3.2412 2.0583
3.2412 3.2412 -2.0583
Li Ag
1 4
Cartesian
0.0000 0.0000 0.0000
2.5925 1.3101 0.0000
1.9311 -0.6487 2.0583
1.3101 3.8899 0.0000
0.6487 1.9311 2.0583
```

Values from the calculation:
**Polymorph energy (0 for the lowest one)**: 0.00 eV/f.u.
**DFT formation energy**: -10.1 kJ per mole of atoms



D(E_F)
In order: 6.0; 10.0; 0.0; 4.1; 10.0; 18.1; 2.6; 15.0; 3.4; 0.7; 5.5; 0.9
Unit: states/eV per cell
Uncorrected energy
In order: -29.00; -79.82; -30.23; -21.45; -58.67; -24.34; -32.84; -44.48; -21.64; -16.46; -167.01; -13.84
Unit: eV/f.u.
V
In order: 104; 323; 423; 81; 229; 436; 214; 428; 130; 64; 254; 86
Unit: Å³/cell